VASP calculation (PBE) on a geometry-optimized La2Tm3Sc structure.

abc: 4.993 10.086 9.378
angles: 122.53 105.44 90.00
Sites, in units of the cell vectors:
1 Tm 0.163 0.413 0.327
2 Tm 0.837 0.587 0.673
3 Tm 0.837 0.087 0.673
4 Tm 0.163 0.913 0.327
5 Tm 0.500 0.750 0.000
6 Tm 0.500 0.250 0.000
7 La 0.661 0.661 0.322
8 La 0.339 0.839 0.678
9 La 0.661 0.161 0.322
10 La 0.339 0.339 0.678
11 Sc 0.000 0.000 0.000
12 Sc 0.000 0.500 0.000

- magnetic moment (μB per cell) = 0.0
- uncorrected energy (eV per atom) = -4.876
- ρ (g/cm³) = 7.29
- E above lowest polymorph (kJ/mol of atoms) = 0.0
- formation energy (eV/atom) = 0.058